Record 1
# MnSnPd2, optimized geometry, DFT PBE-GGA
# crystal system = tetragonal
data_MnSnPd2
_chemical_formula_sum 'Mn1 Sn1 Pd2'
_space_group_name_H-M_alt 'P 4/m m m'
_space_group_IT_number 123
_space_group_name_Hall '-P 4 2'
_cell_length_a 4.298
_cell_length_b 4.298
_cell_length_c 3.607
_cell_angle_alpha 90.00
_cell_angle_beta 90.00
_cell_angle_gamma 90.00
loop_
_atom_site_label
_atom_site_fract_x
_atom_site_fract_y
_atom_site_fract_z
Mn1 0.000 0.000 0.000
Sn1 0.500 0.500 0.000
Pd1 0.000 0.500 0.500



Record 2
# SrScRh2, optimized geometry, DFT PBE-GGA
# crystal system = tetragonal
# polymorph energy (0 for the lowest one) = 0.491 eV/atom
data_SrScRh2
_chemical_formula_sum 'Sr4 Sc4 Rh8'
_space_group_name_H-M_alt 'I -4 2 d'
_space_group_IT_number 122
_space_group_name_Hall 'I -4 2bw'
_cell_length_a 5.135
_cell_length_b 5.135
_cell_length_c 16.490
_cell_angle_alpha 90.00
_cell_angle_beta 90.00
_cell_angle_gamma 90.00
loop_
_atom_site_label
_atom_site_fract_x
_atom_site_fract_y
_atom_site_fract_z
Sr1 0.000 0.000 0.000
Sc1 0.000 0.000 0.500
Rh1 0.066 0.250 0.625



The total magnetization results, record by record, are as follows: 4.15; 0.00 Bohr magnetons per cell.
The calculated volume results, record by record, are as follows: 66.6; 434.8 Å³/cell.
The DFT formation energy results, record by record, are as follows: -0.337; -0.057 eV/atom.